No. 1
Computed, not measured: a geometry-optimized LiScTi structure at the PBE level of DFT.

Calculated values
Symmetry: P6_3/mmc, No. 194
Offset from the most stable computed form, meV/atom: 377
Density, Mg/m³: 2.697
Total energy, eV per atom: -4.923

Cell and atoms, written as CIF:
```
data_LiScTi
_chemical_formula_sum 'Li2 Sc2 Ti2'
_cell_length_a 5.0648
_cell_length_b 5.0648
_cell_length_c 5.5294
_cell_angle_alpha 90.00
_cell_angle_beta 90.00
_cell_angle_gamma 120.00
_symmetry_space_group_name_H-M 'P 1'
_symmetry_Int_Tables_number 1
_symmetry_space_group_name_Hall 'P 1'
loop_
_atom_site_label
_atom_site_fract_x
_atom_site_fract_y
_atom_site_fract_z
Sc1 0.3333 0.6667 0.7500
Sc2 0.6667 0.3333 0.2500
Li1 0.0000 0.0000 0.0000
Li2 0.0000 0.0000 0.5000
Ti1 0.3333 0.6667 0.2500
Ti2 0.6667 0.3333 0.7500
```

---

No. 2
Computed, not measured: a geometry-optimized LiScTi structure at the PBE level of DFT.

Calculated values
Symmetry: P6_3/mmc, No. 194
Offset from the most stable computed form, meV/atom: 333
Density, Mg/m³: 2.857
Total energy, eV per atom: -4.967

Cell and atoms, written as CIF:
```
data_LiScTi
_chemical_formula_sum 'Li4 Sc4 Ti4'
_cell_length_a 8.0501
_cell_length_b 6.1996
_cell_length_c 4.6479
_cell_angle_alpha 90.00
_cell_angle_beta 90.00
_cell_angle_gamma 90.00
_symmetry_space_group_name_H-M 'P 1'
_symmetry_Int_Tables_number 1
_symmetry_space_group_name_Hall 'P 1'
loop_
_atom_site_label
_atom_site_fract_x
_atom_site_fract_y
_atom_site_fract_z
Sc1 0.0000 0.0000 0.0000
Sc2 0.5000 0.5000 0.5000
Sc3 0.5000 0.0000 0.5000
Sc4 0.0000 0.5000 0.0000
Li1 0.6668 0.2500 0.0000
Li2 0.8332 0.7500 0.5000
Li3 0.3332 0.7500 0.0000
Li4 0.1668 0.2500 0.5000
Ti1 0.3335 0.2500 0.0000
Ti2 0.1665 0.7500 0.5000
Ti3 0.6665 0.7500 0.0000
Ti4 0.8335 0.2500 0.5000
```

---

No. 3
Computed, not measured: a geometry-optimized LiScTi structure at the PBE level of DFT.

Calculated values
Symmetry: Cm, No. 8
Offset from the most stable computed form, meV/atom: 138
Density, Mg/m³: 2.825
Total energy, eV per atom: -5.162

Cell and atoms, written as CIF:
```
data_LiScTi
_chemical_formula_sum 'Li2 Sc2 Ti2'
_cell_length_a 7.6592
_cell_length_b 5.6534
_cell_length_c 5.6534
_cell_angle_alpha 148.51
_cell_angle_beta 112.58
_cell_angle_gamma 67.42
_symmetry_space_group_name_H-M 'P 1'
_symmetry_Int_Tables_number 1
_symmetry_space_group_name_Hall 'P 1'
loop_
_atom_site_label
_atom_site_fract_x
_atom_site_fract_y
_atom_site_fract_z
Sc1 0.3983 0.0562 0.9438
Sc2 0.8431 0.0554 0.9446
Li1 0.4983 0.7508 0.2492
Li2 0.1983 0.3962 0.6038
Ti1 0.7289 0.3567 0.6433
Ti2 0.0360 0.7266 0.2734
```

---

No. 4
Computed, not measured: a geometry-optimized LiScTi structure at the PBE level of DFT.

Calculated values
Symmetry: P4/nmm, No. 129
Offset from the most stable computed form, meV/atom: 14
Density, Mg/m³: 2.676
Total energy, eV per atom: -5.286

Cell and atoms, written as CIF:
```
data_LiScTi
_chemical_formula_sum 'Li2 Sc2 Ti2'
_cell_length_a 3.0322
_cell_length_b 3.0322
_cell_length_c 13.4653
_cell_angle_alpha 90.00
_cell_angle_beta 90.00
_cell_angle_gamma 90.00
_symmetry_space_group_name_H-M 'P 1'
_symmetry_Int_Tables_number 1
_symmetry_space_group_name_Hall 'P 1'
loop_
_atom_site_label
_atom_site_fract_x
_atom_site_fract_y
_atom_site_fract_z
Sc1 0.0000 0.5000 0.2303
Sc2 0.5000 0.0000 0.7697
Li1 0.0000 0.5000 0.5822
Li2 0.5000 0.0000 0.4178
Ti1 0.0000 0.5000 0.9272
Ti2 0.5000 0.0000 0.0728
```

---

No. 5
Computed, not measured: a geometry-optimized LiScTi structure at the PBE level of DFT.

Calculated values
Symmetry: P2_1/m, No. 11
Offset from the most stable computed form, meV/atom: 95
Density, Mg/m³: 2.669
Total energy, eV per atom: -5.205

Cell and atoms, written as CIF:
```
data_LiScTi
_chemical_formula_sum 'Li2 Sc2 Ti2'
_cell_length_a 5.2870
_cell_length_b 3.0268
_cell_length_c 8.0091
_cell_angle_alpha 90.00
_cell_angle_beta 75.62
_cell_angle_gamma 90.00
_symmetry_space_group_name_H-M 'P 1'
_symmetry_Int_Tables_number 1
_symmetry_space_group_name_Hall 'P 1'
loop_
_atom_site_label
_atom_site_fract_x
_atom_site_fract_y
_atom_site_fract_z
Sc1 0.4762 0.2500 0.8380
Sc2 0.5238 0.7500 0.1620
Li1 0.2288 0.2500 0.5137
Li2 0.7712 0.7500 0.4863
Ti1 0.0277 0.2500 0.1386
Ti2 0.9723 0.7500 0.8614
```

---

No. 6
Computed, not measured: a geometry-optimized LiScTi3 structure at the PBE level of DFT.

Calculated values
Symmetry: Pm-3m, No. 221
Offset from the most stable computed form, meV/atom: 460
Density, Mg/m³: 2.890
Total energy, eV per atom: -5.154

Cell and atoms, written as CIF:
```
data_LiScTi3
_chemical_formula_sum 'Li1 Sc1 Ti3'
_cell_length_a 4.8247
_cell_length_b 4.8247
_cell_length_c 4.8247
_cell_angle_alpha 90.00
_cell_angle_beta 90.00
_cell_angle_gamma 90.00
_symmetry_space_group_name_H-M 'P 1'
_symmetry_Int_Tables_number 1
_symmetry_space_group_name_Hall 'P 1'
loop_
_atom_site_label
_atom_site_fract_x
_atom_site_fract_y
_atom_site_fract_z
Sc1 0.0000 0.0000 0.0000
Li1 0.5000 0.5000 0.5000
Ti1 0.0000 0.5000 0.0000
Ti2 0.0000 0.0000 0.5000
Ti3 0.5000 0.0000 0.0000
```

---

No. 7
Computed, not measured: a geometry-optimized LiScTi structure at the PBE level of DFT.

Calculated values
Symmetry: C2/m, No. 12
Offset from the most stable computed form, meV/atom: 12
Density, Mg/m³: 2.657
Total energy, eV per atom: -5.288

Cell and atoms, written as CIF:
```
data_LiScTi
_chemical_formula_sum 'Li2 Sc2 Ti2'
_cell_length_a 15.9892
_cell_length_b 3.0909
_cell_length_c 3.0909
_cell_angle_alpha 120.02
_cell_angle_beta 106.78
_cell_angle_gamma 73.22
_symmetry_space_group_name_H-M 'P 1'
_symmetry_Int_Tables_number 1
_symmetry_space_group_name_Hall 'P 1'
loop_
_atom_site_label
_atom_site_fract_x
_atom_site_fract_y
_atom_site_fract_z
Sc1 0.7679 0.8976 0.1024
Sc2 0.2321 0.1024 0.8976
Li1 0.5862 0.7445 0.2555
Li2 0.4138 0.2555 0.7445
Ti1 0.9262 0.4071 0.5929
Ti2 0.0738 0.5929 0.4071
```

---

No. 8
Computed, not measured: a geometry-optimized LiScTi structure at the PBE level of DFT.

Calculated values
Symmetry: C2/m, No. 12
Offset from the most stable computed form, meV/atom: 62
Density, Mg/m³: 2.797
Total energy, eV per atom: -5.238

Cell and atoms, written as CIF:
```
data_LiScTi
_chemical_formula_sum 'Li2 Sc2 Ti2'
_cell_length_a 9.9492
_cell_length_b 4.6792
_cell_length_c 4.6792
_cell_angle_alpha 119.92
_cell_angle_beta 132.39
_cell_angle_gamma 47.61
_symmetry_space_group_name_H-M 'P 1'
_symmetry_Int_Tables_number 1
_symmetry_space_group_name_Hall 'P 1'
loop_
_atom_site_label
_atom_site_fract_x
_atom_site_fract_y
_atom_site_fract_z
Sc1 0.2298 0.7786 0.2214
Sc2 0.7702 0.2214 0.7786
Li1 0.4999 0.8346 0.1654
Li2 0.5001 0.1654 0.8346
Ti1 0.0001 0.6663 0.3337
Ti2 0.9999 0.3337 0.6663
```